Record 1
First-principles (PBE) data for a geometry-optimized DyYGaSi structure, as listed in Alexandria.

Summary:
The symmetry is Amm2, No. 38. For the volume, the calculation gives 22.9 A^3/atom. The formation energy from raw total energies comes out at -0.7656 eV per atom. Its total energy is -22.578 eV per formula unit. The density is 6.34 Mg/m³.

a b c (Å): 3.960 5.778 5.778
angles (deg): 43.80 90.00 90.00
Fractional positions:
Dy  0.000  0.000  0.000
Y  0.500  0.281  0.281
Ga  0.000  0.716  0.716
Si  0.500  0.564  0.564

Record 2
First-principles (PBE) data for a geometry-optimized PaVTc structure, as listed in Alexandria.

Summary:
The symmetry is I4mm, No. 107. For the volume, the calculation gives 18.2 A^3/atom. The calculation puts the formation energy at 0.16 eV/atom. Its energy above the most stable polymorph in this dataset is 27 meV/atom. Its total energy is -28.510 eV per formula unit. The density is 11.55 Mg/m³.

a b c (Å): 4.831 4.831 4.831
angles (deg): 135.48 135.48 64.79
Fractional positions:
Pa  0.000  0.000  0.000
V  0.697  0.697  0.000
Tc  0.310  0.310  0.000

Record 3
First-principles (PBE) data for a geometry-optimized CsCuTc3 structure, as listed in Alexandria.

Summary:
The symmetry is Pm-3m, No. 221. For the volume, the calculation gives 23.0 A^3/atom. The calculation puts the formation energy at 2.08 eV/atom. Its energy above the most stable polymorph in this dataset is 0 meV/atom. Its total energy is -25.659 eV per formula unit. The density is 7.09 Mg/m³.

a b c (Å): 4.862 4.862 4.862
angles (deg): 90.00 90.00 90.00
Fractional positions:
Cs  0.000  0.000  0.000
Cu  0.500  0.500  0.500
Tc  0.000  0.500  0.500
Tc  0.500  0.000  0.500
Tc  0.500  0.500  0.000

Record 4
First-principles (PBE) data for a geometry-optimized BaAc2 structure, as listed in Alexandria.

Summary:
The symmetry is I4/mmm, No. 139. For the volume, the calculation gives 49.6 A^3/atom. The calculation puts the formation energy at 0.05 eV/atom. Its energy above the most stable polymorph in this dataset is 0 meV/atom. Its total energy is -9.990 eV per formula unit. The density is 6.60 Mg/m³.

a b c (Å): 9.396 9.396 9.396
angles (deg): 154.93 154.93 35.75
Fractional positions:
Ba  0.000  0.000  0.000
Ac  0.323  0.323  0.000
Ac  0.677  0.677  0.000

Question: Look up the density of the third one.
Answer: 7.09 Mg/m³

Question: Which value of density does entry 4 give?
Answer: 6.60 Mg/m³

Please write out number 2 again, unchanged.
First-principles (PBE) data for a geometry-optimized PaVTc structure, as listed in Alexandria.

Summary:
The symmetry is I4mm, No. 107. For the volume, the calculation gives 18.2 A^3/atom. The calculation puts the formation energy at 0.16 eV/atom. Its energy above the most stable polymorph in this dataset is 27 meV/atom. Its total energy is -28.510 eV per formula unit. The density is 11.55 Mg/m³.

a b c (Å): 4.831 4.831 4.831
angles (deg): 135.48 135.48 64.79
Fractional positions:
Pa  0.000  0.000  0.000
V  0.697  0.697  0.000
Tc  0.310  0.310  0.000

Question: What is the density in the fourth record?
Answer: 6.60 Mg/m³